An optimized crystal structure of ZnCd2Se, computed with PBE-GGA.

The calculation puts the magnetic moment at 0.00 μB per atom. For the offset from the most stable computed form, the calculation gives 56 kJ/mol of formula units. The value obtained for the raw formation energy is 0.2 kcal/mol of atoms.

a = 3.9410 Å, b = 3.9730 Å, c = 6.1359 Å
α = 90.00°, β = 90.00°, γ = 90.00°
Space group Pmmm (No. 47)
Asymmetric unit:
Zn  0.0000  0.0000  0.0000 x1
Cd  0.0000  0.5000  0.5000 x1
Cd  0.5000  0.5000  0.0000 x1
Se  0.5000  0.0000  0.5000 x1

***

An optimized crystal structure of BaTl2InSn, computed with PBE-GGA.

The calculation puts the magnetic moment at 0.00 μB per atom. The calculation puts the calculated formation energy at -0.258 eV/atom.

a = 4.7816 Å, b = 5.5051 Å, c = 12.8603 Å
α = 90.00°, β = 90.00°, γ = 90.00°
Space group Imm2 (No. 44)
Asymmetric unit:
Ba  0.0000  0.0000  0.0000 x2
Tl  0.0000  0.0000  0.6139 x2
Tl  0.0000  0.5000  0.2669 x2
In  0.0000  0.5000  0.7366 x2
Sn  0.0000  0.0000  0.3806 x2

***

An optimized crystal structure of LiHoThFe, computed with PBE-GGA.

The calculation puts the magnetic moment at 0.00 μB per atom. The calculation puts the calculated formation energy at 0.087 eV/atom.

a = 6.9480 Å, b = 6.9480 Å, c = 6.9480 Å
α = 90.00°, β = 90.00°, γ = 90.00°
Space group F-43m (No. 216)
Asymmetric unit:
Li  0.0000  0.0000  0.0000 x4
Ho  0.2500  0.2500  0.7500 x4
Th  0.2500  0.2500  0.2500 x4
Fe  0.0000  0.0000  0.5000 x4

***

An optimized crystal structure of Nb3Ni20B6, computed with PBE-GGA.

The calculation puts the magnetic moment at 0.00 μB per atom. The calculation puts the calculated formation energy at -0.356 eV/atom.

a = 10.6113 Å, b = 10.6113 Å, c = 10.6113 Å
α = 90.00°, β = 90.00°, γ = 90.00°
Space group Fm-3m (No. 225)
Asymmetric unit:
Nb  0.0000  0.0000  0.0000 x4
Nb  0.2500  0.2500  0.2500 x8
Ni  0.0000  0.1717  0.1717 x48
Ni  0.1153  0.1153  0.3847 x32
B  0.0000  0.0000  0.2667 x24

***

An optimized crystal structure of Y2LuI, computed with PBE-GGA.

The calculation puts the magnetic moment at 0.00 μB per atom. For the offset from the most stable computed form, the calculation gives 25 kJ/mol of formula units. The value obtained for the raw formation energy is -6.3 kcal/mol of atoms.

a = 3.6268 Å, b = 3.6268 Å, c = 9.4182 Å
α = 90.00°, β = 90.00°, γ = 90.00°
Space group P4/mmm (No. 123)
Asymmetric unit:
Y  0.0000  0.0000  0.2469 x2
Lu  0.5000  0.5000  0.5000 x1
I  0.5000  0.5000  0.0000 x1

***

An optimized crystal structure of Zr3FeSb5, computed with PBE-GGA.

The calculation puts the magnetic moment at 0.31 μB per atom. The value obtained for the raw formation energy is -6.0 kcal/mol of atoms.

a = 8.9029 Å, b = 8.9029 Å, c = 5.8724 Å
α = 90.00°, β = 90.00°, γ = 120.00°
Space group P6_3/mcm (No. 193)
Asymmetric unit:
Zr  0.0000  0.3788  0.2500 x6
Fe  0.0000  0.0000  0.0000 x2
Sb  0.0000  0.2660  0.7500 x6
Sb  0.3333  0.6667  0.0000 x4

***

An optimized crystal structure of Sm3Cd5Ga12, computed with PBE-GGA.

The calculation puts the magnetic moment at 0.00 μB per atom. The calculation puts the calculated formation energy at 0.191 eV/atom.

a = 16.4928 Å, b = 16.4928 Å, c = 16.4928 Å
α = 90.00°, β = 90.00°, γ = 90.00°
Space group Ia-3d (No. 230)
Asymmetric unit:
Sm  0.0000  0.2500  0.1250 x24
Cd  0.0000  0.0000  0.0000 x16
Cd  0.0000  0.2500  0.3750 x24
Ga  0.0097  0.0734  0.6472 x96

***

An optimized crystal structure of LiLa3Os, computed with PBE-GGA.

The calculation puts the magnetic moment at 0.00 μB per atom. For the offset from the most stable computed form, the calculation gives 4 kJ/mol of formula units. The calculation puts the calculated formation energy at -0.025 eV/atom.

a = 5.6622 Å, b = 5.6622 Å, c = 5.6622 Å
α = 90.00°, β = 90.00°, γ = 90.00°
Space group Pm-3m (No. 221)
Asymmetric unit:
Li  0.0000  0.0000  0.0000 x1
La  0.0000  0.5000  0.5000 x3
Os  0.5000  0.5000  0.5000 x1

***

> magnetic moment of number 4 (Nb3Ni20B6)?

0.00 μB per atom

***

> Look up the magnetic moment of the fifth one.

0.00 μB per atom

***

> What is the formula in the fifth record?

Y2LuI